No. 1
MgAlO2 | the Alexandria database | PBE-GGA | relaxed; polymorph energy (0 for the lowest one) = 0 meV per atom; space group = R-3m; ΔE_f (raw) = -2261 meV/atom
1.0
1.6872 0.0000 5.9337
-0.8436 1.4611 5.9337
-0.8436 -1.4611 5.9337
Mg Al O
1 1 2
direct
0.0000 0.0000 0.0000
0.5000 0.5000 0.5000
0.8877 0.8877 0.8877
0.1123 0.1123 0.1123


No. 2
P2PtPb | the Alexandria database | PBE-GGA | relaxed; E_form = 0.504 eV/atom; space group = P4/mmm
1.0
4.8368 0.0000 0.0000
0.0000 4.8368 0.0000
0.0000 0.0000 3.1642
P Pb Pt
2 1 1
direct
0.0000 0.0000 0.0000
0.5000 0.5000 0.0000
0.5000 0.0000 0.5000
0.0000 0.5000 0.5000


No. 3
Y2Zn3InAu4 | the Alexandria database | PBE-GGA | relaxed; E_form = -0.499 eV/atom; space group = P-4m2
1.0
-0.9648 1.3650 3.8268
-2.7213 -3.1377 0.4331
8.5531 -6.7862 4.5769
Y Zn In Au
2 3 1 4
direct
0.5000 0.0000 0.2372
0.0000 0.5000 0.7628
0.0000 0.0000 0.5000
0.5000 0.0000 0.8665
0.0000 0.5000 0.1335
0.5000 0.5000 0.5000
0.5000 0.5000 0.0000
0.0000 0.0000 0.0000
0.5000 0.0000 0.6554
0.0000 0.5000 0.3446


No. 4
Tb7PrEr5 | the Alexandria database | PBE-GGA | relaxed; E_form = 0.245 eV/atom; polymorph energy (0 for the lowest one) = 3 meV per atom; space group = Imm2
1.0
6.2452 0.0000 2.2886
2.9915 8.0251 1.5022
0.3586 -0.1231 8.6870
Tb Pr Er
7 1 5
direct
0.5757 0.4243 0.4243
0.2700 0.7300 0.7300
0.0182 0.3093 0.6544
0.0182 0.6544 0.3093
0.2637 0.2363 0.2363
0.5203 0.8093 0.1502
0.5203 0.1502 0.8093
0.9677 0.0323 0.0323
0.5328 0.0003 0.4624
0.0046 0.0003 0.4624
0.5328 0.4624 0.0003
0.0046 0.4624 0.0003
0.7713 0.7287 0.7287


No. 5
K2ScP | the Alexandria database | PBE-GGA | relaxed; E_form = -0.396 eV/atom; space group = Immm
1.0
10.7840 0.1689 -0.0136
9.4064 5.2767 0.0136
-10.0568 -2.8651 2.6411
K P Sc
2 1 1
direct
0.9048 0.9048 0.0000
0.5952 0.5952 0.0000
0.7500 0.2500 0.5000
0.2500 0.7500 0.5000


No. 6
Y2HgAu | the Alexandria database | PBE-GGA | relaxed; E_form = -0.539 eV/atom; space group = Cm
1.0
-3.9520 -2.2374 3.8384
-1.4927 -4.8827 3.0478
2.0875 0.5963 4.4984
Au Hg Y
1 1 2
direct
0.5071 0.5071 0.5470
0.2341 0.2341 0.2148
0.9922 0.9922 0.0466
0.7666 0.7666 0.6916


No. 7
Ba6PdCl | the Alexandria database | PBE-GGA | relaxed; space group = P-31c; ΔE_f (raw) = -605 meV/atom
1.0
-0.3678 -5.7504 5.5069
0.6185 -1.9040 -7.7149
15.0880 0.1564 1.1710
Ba Pd Cl
12 2 2
direct
0.3279 0.3256 0.3796
0.6721 0.6744 0.6204
0.9977 0.6721 0.3796
0.3279 0.0023 0.1204
0.0023 0.3279 0.6204
0.6721 0.9977 0.8796
0.6744 0.0023 0.3796
0.9977 0.3256 0.1204
0.3256 0.9977 0.6204
0.0023 0.6744 0.8796
0.6744 0.6721 0.1204
0.3256 0.3279 0.8796
0.0000 0.0000 0.5000
0.0000 0.0000 0.0000
0.3333 0.6667 0.2500
0.6667 0.3333 0.7500


No. 8
K3Li2PtF9 | the Alexandria database | PBE-GGA | relaxed; space group = P-3m1; ΔE_f (raw) = -2420 meV/atom
1.0
5.8513 0.0000 0.0000
-2.9257 5.0674 0.0000
0.0000 0.0000 7.4213
K Li Pt F
3 2 1 9
direct
0.3333 0.6667 0.7061
0.0000 0.0000 0.0000
0.6667 0.3333 0.2939
0.3333 0.6667 0.1065
0.6667 0.3333 0.8935
0.0000 0.0000 0.5000
0.8410 0.1590 0.6538
0.8410 0.6819 0.6538
0.3181 0.1590 0.6538
0.6819 0.8410 0.3462
0.1590 0.3181 0.3462
0.1590 0.8410 0.3462
0.5000 0.0000 0.0000
0.0000 0.5000 0.0000
0.5000 0.5000 0.0000


No. 9
AgTe2RuN | the Alexandria database | PBE-GGA | relaxed; polymorph energy (0 for the lowest one) = 0 meV per atom; space group = P4/mmm; ΔE_f (raw) = 336 meV/atom
1.0
5.5043 0.0000 0.0000
0.0000 5.5043 0.0000
0.0000 0.0000 3.6265
Ru Te Ag N
1 2 1 1
direct
0.0000 0.0000 0.0000
0.0000 0.5000 0.0000
0.5000 0.0000 0.0000
0.5000 0.5000 0.5000
0.0000 0.0000 0.5000


No. 10
HoTmTh | the Alexandria database | PBE-GGA | relaxed; E_form = 0.024 eV/atom; polymorph energy (0 for the lowest one) = 5 meV per atom; space group = I4mm
1.0
-1.6578 1.2887 2.8697
-3.0386 0.1834 -1.8378
0.6469 -7.6518 1.6069
Tm Ho Th
1 1 1
direct
0.6712 0.6712 0.3424
0.9960 0.9960 0.9920
0.3328 0.3328 0.6656


No. 11
RbPr2Sc | the Alexandria database | PBE-GGA | relaxed; E_form = 0.281 eV/atom; space group = R-3m
1.0
3.6576 0.0000 0.0000
1.8288 3.1676 0.0000
1.8288 1.0559 13.2789
Pr Sc Rb
2 1 1
direct
0.0992 0.0992 0.7023
0.9008 0.9008 0.2977
0.5000 0.5000 0.5000
0.0000 0.0000 0.0000


No. 12
DyTc4P4 | the Alexandria database | PBE-GGA | relaxed; E_form = -0.574 eV/atom; space group = P4_2/nmc
1.0
5.9564 0.0000 0.0000
0.0000 5.9564 0.0000
0.0000 0.0000 7.8249
Dy Tc P
2 8 8
direct
0.0000 0.0000 0.0000
0.5000 0.5000 0.5000
0.2470 0.5000 0.8728
0.7530 0.5000 0.8728
0.5000 0.7530 0.1272
0.5000 0.2470 0.1272
0.0000 0.7470 0.3728
0.0000 0.2530 0.3728
0.2530 0.0000 0.6272
0.7470 0.0000 0.6272
0.5000 0.8007 0.8275
0.5000 0.1993 0.8275
0.8007 0.5000 0.1725
0.1993 0.5000 0.1725
0.3007 0.0000 0.3275
0.6993 0.0000 0.3275
0.0000 0.3007 0.6725
0.0000 0.6993 0.6725


No. 13
La2TlW2 | the Alexandria database | PBE-GGA | relaxed; E_form = 0.365 eV/atom; polymorph energy (0 for the lowest one) = 0 meV per atom; space group = I4/mmm
1.0
3.6953 0.0000 0.0000
0.0000 3.6953 0.0000
1.8476 1.8476 10.1918
Tl W La
1 2 2
direct
0.0000 0.0000 0.0000
0.7500 0.2500 0.5000
0.2500 0.7500 0.5000
0.3817 0.3817 0.2367
0.6183 0.6183 0.7633


No. 14
Rb3TbF6 | the Alexandria database | PBE-GGA | relaxed; space group = I4/mmm; ΔE_f (raw) = -3244 meV/atom
1.0
-4.7614 4.6337 2.2311
-4.2813 -2.5879 -4.9085
2.7628 -4.4346 4.6713
Rb Tb F
3 1 6
direct
0.7500 0.2500 0.5000
0.2500 0.7500 0.5000
0.5000 0.5000 0.0000
0.0000 0.0000 0.0000
0.0000 0.3044 0.3044
0.0000 0.6956 0.6956
0.3044 0.0000 0.3044
0.6956 0.0000 0.6956
0.2309 0.2309 0.0000
0.7691 0.7691 0.0000


No. 15
Ti2VNi6 | the Alexandria database | PBE-GGA | relaxed; E_form = -0.230 eV/atom; polymorph energy (0 for the lowest one) = 4 meV per atom; space group = Immm
1.0
-0.7156 -2.2813 -0.9294
7.0444 -1.1904 -2.5046
-1.8149 -0.6984 6.6679
Ti V Ni
2 1 6
direct
0.1557 0.6555 0.3110
0.8443 0.3445 0.6890
0.0000 0.0000 0.0000
0.1738 0.3424 0.3489
0.8261 0.9933 0.6511
0.8262 0.6576 0.6511
0.4999 0.3052 0.0000
0.1739 0.0067 0.3489
0.5001 0.6948 0.0000


No. 16
Cs3Li2PaTe6 | the Alexandria database | PBE-GGA | relaxed; space group = C2/m; ΔE_f (raw) = -835 meV/atom
1.0
-6.1783 -6.0973 3.5115
3.9705 1.4303 -8.3588
7.2757 -2.6417 4.5452
Cs Li Pa Te
3 2 1 6
direct
0.1769 0.8231 0.5000
0.8231 0.1769 0.5000
0.5000 0.5000 0.5000
0.4052 0.5948 0.0000
0.5948 0.4052 0.0000
0.0000 0.0000 0.0000
0.8978 0.6112 0.8399
0.7962 0.7962 0.2351
0.1022 0.3888 0.1601
0.6112 0.8978 0.8399
0.2038 0.2038 0.7649
0.3888 0.1022 0.1601


No. 17
Cd2AsO4F | the Alexandria database | PBE-GGA | relaxed; polymorph energy (0 for the lowest one) = 262 meV per atom; space group = C2/m; ΔE_f (raw) = -1191 meV/atom
1.0
3.0569 0.0000 0.0000
1.5285 5.1460 0.3349
1.5285 1.4361 6.1776
Cd As O F
2 1 4 1
direct
0.8134 0.6834 0.6898
0.1866 0.3166 0.3102
0.0000 0.0000 0.0000
0.1434 0.9976 0.7155
0.3960 0.2609 0.9470
0.8566 0.0024 0.2845
0.6040 0.7391 0.0530
0.5000 0.5000 0.5000


No. 18
CePr2Zn3 | the Alexandria database | PBE-GGA | relaxed; E_form = -0.253 eV/atom; space group = P4/mmm
1.0
-0.3754 -1.4187 -3.3690
-3.0240 -1.7823 1.0875
-6.2142 8.7241 -2.9814
Ce Pr Zn
1 2 3
direct
0.5000 0.5000 0.5000
0.5000 0.5000 0.8302
0.5000 0.5000 0.1698
0.0000 0.0000 0.0000
0.0000 0.0000 0.6602
0.0000 0.0000 0.3398


No. 19
Y2ZnRu | the Alexandria database | PBE-GGA | relaxed; E_form = 0.086 eV/atom; space group = R3m
1.0
-7.1785 -4.8011 2.2468
-5.3906 -7.1089 0.1886
-4.5403 -6.7647 3.6407
Ru Y Zn
1 2 1
direct
0.7607 0.7607 0.7607
0.0226 0.0226 0.0226
0.2333 0.2333 0.2333
0.4835 0.4835 0.4835


No. 20
Ac2InCuSe5 | the Alexandria database | PBE-GGA | relaxed; space group = Cmc2_1; ΔE_f (raw) = -1308 meV/atom
1.0
-2.3870 1.1700 3.4228
-3.4388 -8.5980 -2.2030
8.2489 -5.2313 7.5410
Ac In Cu Se
4 2 2 10
direct
0.8753 0.7507 0.7977
0.1149 0.2298 0.6743
0.1247 0.2493 0.2977
0.8851 0.7702 0.1743
0.5938 0.1875 0.9646
0.4062 0.8125 0.4646
0.7470 0.4939 0.6041
0.2530 0.5061 0.1041
0.3579 0.7157 0.9898
0.6977 0.3954 0.8162
0.5043 0.0086 0.7814
0.3031 0.6062 0.6363
0.9595 0.9190 0.5594
0.6421 0.2843 0.4898
0.3023 0.6046 0.3162
0.4957 0.9914 0.2814
0.6969 0.3938 0.1363
0.0405 0.0810 0.0594